Record 1
# Pm5Y8Er | Alexandria | PBE | optimized geometry
data_Pm5Y8Er
_symmetry_space_group_name_H-M 'I -4'
_symmetry_Int_Tables_number 82
_symmetry_space_group_name_Hall 'I -4'
_cell_length_a 9.658
_cell_length_b 9.658
_cell_length_c 10.138
_cell_angle_alpha 90.00
_cell_angle_beta 90.00
_cell_angle_gamma 90.00
loop_
_atom_site_label
_atom_site_type_symbol
_atom_site_fract_x
_atom_site_fract_y
_atom_site_fract_z
Pm1 Pm 0.000 0.000 0.000
Pm2 Pm 0.109 0.214 0.578
Y1 Y 0.071 0.325 0.906
Y2 Y 0.084 0.177 0.247
Er1 Er 0.000 0.500 0.250
# * energy of formation: 0.24 eV/atom


Record 2
# TmPu2Mn | Alexandria | PBE | optimized geometry
data_TmPu2Mn
_symmetry_space_group_name_H-M 'R -3 m'
_symmetry_Int_Tables_number 166
_symmetry_space_group_name_Hall '-R 3 2"'
_cell_length_a 3.3864
_cell_length_b 3.3864
_cell_length_c 29.0604
_cell_angle_alpha 90.00
_cell_angle_beta 90.00
_cell_angle_gamma 120.00
loop_
_atom_site_label
_atom_site_type_symbol
_atom_site_fract_x
_atom_site_fract_y
_atom_site_fract_z
Tm1 Tm 0.0000 0.0000 0.0000
Pu1 Pu 0.0000 0.0000 0.2340
Mn1 Mn 0.0000 0.0000 0.5000
# * energy of formation: 0.28 eV/atom
# * relative energy among the computed polymorphs: 148 meV/atom